Below is NbCo2AsPd after structural relaxation, with properties calculated at the PBE-GGA level.

Structure (CIF):
```
data_NbCo2AsPd
_cell_length_a 4.272
_cell_length_b 4.272
_cell_length_c 4.822
_cell_angle_alpha 90.00
_cell_angle_beta 90.00
_cell_angle_gamma 90.00
_symmetry_space_group_name_H-M 'P 4/m m m'
_symmetry_Int_Tables_number 123
_symmetry_space_group_name_Hall '-P 4 2'
loop_
_atom_site_label
_atom_site_fract_x
_atom_site_fract_y
_atom_site_fract_z
Nb1 0.000 0.000 0.000
Co1 0.000 0.500 0.500
As1 0.000 0.000 0.500
Pd1 0.500 0.500 0.000
```

- Fermi-level density of states (states/eV/cell) = 6.2
- E_form (eV/atom) = 0.652

Below is NbCd2Au after structural relaxation, with properties calculated at the PBE-GGA level.

Structure (CIF):
```
data_NbCd2Au
_cell_length_a 7.731
_cell_length_b 7.731
_cell_length_c 5.712
_cell_angle_alpha 90.00
_cell_angle_beta 90.00
_cell_angle_gamma 90.00
_symmetry_space_group_name_H-M 'I -4 2 d'
_symmetry_Int_Tables_number 122
_symmetry_space_group_name_Hall 'I -4 2bw'
loop_
_atom_site_label
_atom_site_fract_x
_atom_site_fract_y
_atom_site_fract_z
Nb1 0.000 0.000 0.000
Cd1 0.237 0.250 0.625
Au1 0.000 0.000 0.500
```

- Fermi-level density of states (states/eV/cell) = 12.3
- E_form (eV/atom) = 0.455
- relative energy among the computed polymorphs (eV per atom) = 0.184

Below is PuScCd2 after structural relaxation, with properties calculated at the PBE-GGA level.

Structure (CIF):
```
data_PuScCd2
_cell_length_a 7.347
_cell_length_b 7.347
_cell_length_c 7.347
_cell_angle_alpha 90.00
_cell_angle_beta 90.00
_cell_angle_gamma 90.00
_symmetry_space_group_name_H-M 'F m -3 m'
_symmetry_Int_Tables_number 225
_symmetry_space_group_name_Hall '-F 4 2 3'
loop_
_atom_site_label
_atom_site_fract_x
_atom_site_fract_y
_atom_site_fract_z
Pu1 0.000 0.000 0.000
Sc1 0.000 0.000 0.500
Cd1 0.250 0.250 0.250
```

- Fermi-level density of states (states/eV/cell) = 41.3
- E_form (eV/atom) = -0.056
- relative energy among the computed polymorphs (eV per atom) = 0.079

Below is PCl5 after structural relaxation, with properties calculated at the PBE-GGA level.

Structure (CIF):
```
data_PCl5
_cell_length_a 3.489
_cell_length_b 12.280
_cell_length_c 7.680
_cell_angle_alpha 90.00
_cell_angle_beta 90.00
_cell_angle_gamma 90.00
_symmetry_space_group_name_H-M 'C m m m'
_symmetry_Int_Tables_number 65
_symmetry_space_group_name_Hall '-C 2 2'
loop_
_atom_site_label
_atom_site_fract_x
_atom_site_fract_y
_atom_site_fract_z
P1 0.000 0.000 0.000
Cl1 0.000 0.167 0.500
Cl2 0.000 0.371 0.000
Cl3 0.000 0.500 0.500
```

- Fermi-level density of states (states/eV/cell) = 7.2
- formation energy from raw total energies (eV/atom) = 0.1687

Below is Ho2ErPb after structural relaxation, with properties calculated at the PBE-GGA level.

Structure (CIF):
```
data_Ho2ErPb
_cell_length_a 3.5117
_cell_length_b 3.5117
_cell_length_c 35.8149
_cell_angle_alpha 90.00
_cell_angle_beta 90.00
_cell_angle_gamma 120.00
_symmetry_space_group_name_H-M 'R -3 m'
_symmetry_Int_Tables_number 166
_symmetry_space_group_name_Hall '-R 3 2"'
loop_
_atom_site_label
_atom_site_fract_x
_atom_site_fract_y
_atom_site_fract_z
Ho1 0.0000 0.0000 0.0884
Er1 0.0000 0.0000 0.5000
Pb1 0.0000 0.0000 0.0000
```

- Fermi-level density of states (states/eV/cell) = 12.5
- E_form (eV/atom) = 0.047
- relative energy among the computed polymorphs (eV per atom) = 0.309

Below is InRuBr2 after structural relaxation, with properties calculated at the PBE-GGA level.

Structure (CIF):
```
data_InRuBr2
_cell_length_a 6.430
_cell_length_b 3.720
_cell_length_c 9.227
_cell_angle_alpha 90.00
_cell_angle_beta 99.69
_cell_angle_gamma 90.00
_symmetry_space_group_name_H-M 'C 1 2/m 1'
_symmetry_Int_Tables_number 12
_symmetry_space_group_name_Hall '-C 2y'
loop_
_atom_site_label
_atom_site_fract_x
_atom_site_fract_y
_atom_site_fract_z
In1 0.000 0.000 0.000
Ru1 0.000 0.500 0.500
Br1 0.203 0.000 0.650
```

- Fermi-level density of states (states/eV/cell) = 4.6
- formation energy from raw total energies (eV/atom) = 0.1184
- relative energy among the computed polymorphs (eV per atom) = 0.203

Below is Eu2TmPu after structural relaxation, with properties calculated at the PBE-GGA level.

Structure (CIF):
```
data_Eu2TmPu
_cell_length_a 3.5170
_cell_length_b 3.5170
_cell_length_c 38.2002
_cell_angle_alpha 90.00
_cell_angle_beta 90.00
_cell_angle_gamma 120.00
_symmetry_space_group_name_H-M 'R -3 m'
_symmetry_Int_Tables_number 166
_symmetry_space_group_name_Hall '-R 3 2"'
loop_
_atom_site_label
_atom_site_fract_x
_atom_site_fract_y
_atom_site_fract_z
Eu1 0.0000 0.0000 0.0872
Tm1 0.0000 0.0000 0.5000
Pu1 0.0000 0.0000 0.0000
```

- Fermi-level density of states (states/eV/cell) = 36.5
- E_form (eV/atom) = 0.327

Below is TaTi4Nb after structural relaxation, with properties calculated at the PBE-GGA level.

Structure (CIF):
```
data_TaTi4Nb
_cell_length_a 7.490
_cell_length_b 7.490
_cell_length_c 7.490
_cell_angle_alpha 90.00
_cell_angle_beta 90.00
_cell_angle_gamma 90.00
_symmetry_space_group_name_H-M 'F -4 3 m'
_symmetry_Int_Tables_number 216
_symmetry_space_group_name_Hall 'F -4 2 3'
loop_
_atom_site_label
_atom_site_fract_x
_atom_site_fract_y
_atom_site_fract_z
Ta1 0.000 0.000 0.000
Ti1 0.125 0.125 0.375
Nb1 0.250 0.250 0.750
```

- Fermi-level density of states (states/eV/cell) = 42.4
- E_form (eV/atom) = 0.197
- relative energy among the computed polymorphs (eV per atom) = 0.144

Q: Among the records above, which one has the lowest Fermi-level density of states?
A: InRuBr2